Entry 1:
Material: CaGe2Os
Method: DFT, GGA-PBE
State: optimized geometry

a = 4.208 Å, b = 4.208 Å, c = 15.393 Å
α = 90.00°, β = 90.00°, γ = 120.00°
Fractional coordinates of all 12 atoms:
Ca (0.000, 0.000, 0.000)
Ca (0.333, 0.667, 0.667)
Ca (0.667, 0.333, 0.333)
Ge (0.000, 0.000, 0.217)
Ge (0.000, 0.000, 0.783)
Ge (0.333, 0.667, 0.449)
Ge (0.333, 0.667, 0.884)
Ge (0.667, 0.333, 0.116)
Ge (0.667, 0.333, 0.551)
Os (0.000, 0.000, 0.500)
Os (0.333, 0.667, 0.167)
Os (0.667, 0.333, 0.833)

Results
* SG: R-3m (166)
* spin magnetization: 0.00 μB per cell
* final energy: -70.379 eV for the cell shown
* ΔE_f: -248 meV per atom

***

Entry 2:
Material: AgP2W
Method: DFT, GGA-PBE
State: optimized geometry

a = 13.159 Å, b = 3.099 Å, c = 3.475 Å
α = 90.00°, β = 90.04°, γ = 90.00°
Fractional coordinates of all 8 atoms:
Ag (0.000, 0.000, 0.000)
Ag (0.500, 0.500, 0.000)
P (0.093, 0.500, 0.500)
P (0.308, 0.500, 0.002)
P (0.593, 0.000, 0.500)
P (0.808, 0.000, 0.002)
W (0.233, 0.000, 0.502)
W (0.733, 0.500, 0.502)

Results
* SG: Cm (8)
* distance to the lowest polymorph of the same formula: 0.090 eV/atom
* spin magnetization: 0.00 μB per cell
* final energy: -52.351 eV for the cell shown
* ΔE_f: 112 meV per atom

***

Entry 3:
Material: UPa8
Method: DFT, GGA-PBE
State: optimized geometry

a = 7.309 Å, b = 7.309 Å, c = 7.309 Å
α = 95.81°, β = 95.81°, γ = 142.89°
Fractional coordinates of all 9 atoms:
U (0.000, 0.000, 0.000)
Pa (0.000, 0.332, 0.332)
Pa (0.000, 0.668, 0.668)
Pa (0.332, 0.000, 0.332)
Pa (0.334, 0.334, 0.668)
Pa (0.334, 0.666, 0.000)
Pa (0.666, 0.334, 0.000)
Pa (0.666, 0.666, 0.332)
Pa (0.668, 0.000, 0.668)

Results
* SG: I4/mmm (139)
* spin magnetization: 1.14 μB per cell
* final energy: -86.834 eV for the cell shown
* ΔE_f: 47 meV per atom